Entry 1:
A plane-wave DFT calculation with GGA-PBE was carried out for an optimized crystal structure of ScBeFe.

ΔH_f (0 K)   -191 meV per atom
Density of states at the Fermi level   0.660 states/eV/atom
Symmetry   No. 74
Offset from the most stable computed form   0.000 eV per atom

Cell lengths 4.8023, 4.8023, 4.8023 Å; angles 88.93, 60.11, 118.89 degrees
Last column: magnetic moment on the atom in μB.
Positions (direct):
Sc1 0.7500 0.8797 0.3703  -0.16
Sc2 0.2500 0.1203 0.6297  -0.16
Fe1 0.5000 0.0000 0.0000  1.26
Fe2 0.0000 0.5000 0.0000  1.26
Be1 0.0000 0.5000 0.5000  -0.04
Be2 0.5000 0.5000 0.0000  -0.04



Entry 2:
A plane-wave DFT calculation with GGA-PBE was carried out for an optimized crystal structure of LuGa2Ni.

ΔH_f (0 K)   -415 meV per atom
Density of states at the Fermi level   0.580 states/eV/atom
Symmetry   No. 123

Cell lengths 3.1371, 3.1371, 6.7623 Å; angles 90.00, 90.00, 90.00 degrees
Last column: magnetic moment on the atom in μB.
Positions (direct):
Ni1 0.5000 0.5000 0.0000  0.00
Lu1 0.5000 0.5000 0.5000  -0.18
Ga1 0.0000 0.0000 0.8034  0.00
Ga2 0.0000 0.0000 0.1966  0.00



Entry 3:
A plane-wave DFT calculation with GGA-PBE was carried out for an optimized crystal structure of Sr2ReW.

ΔH_f (0 K)   744 meV per atom
Density of states at the Fermi level   0.833 states/eV/atom
Symmetry   No. 44
Offset from the most stable computed form   0.220 eV per atom

Cell lengths 6.3714, 6.3714, 6.3714 Å; angles 146.73, 127.83, 63.29 degrees
Positions (direct):
Re1 0.2988 0.7988 0.5000
Sr1 0.0243 0.0243 0.0000
Sr2 0.7347 0.2347 0.5000
W1 0.4422 0.4422 0.0000